A plane-wave DFT calculation with PBEsol was carried out for a relaxed NbTeI3 crystal.

Calculated values
M_tot: 0.833 μB per atom
DOS(E_F): 12.2 states/eV per cell
VASP energy: -2.85 eV per atom
Mass density: 4897 kg/m3
Formation energy without anion corrections: 1084 meV per atom

Geometry as CIF:
```
data_NbTeI3
_chemical_formula_sum 'Nb1 Te1 I3'
_space_group_name_H-M_alt 'P m -3 m'
_space_group_IT_number 221
_space_group_name_Hall '-P 4 2 3'
_cell_length_a 5.885
_cell_length_b 5.885
_cell_length_c 5.885
_cell_angle_alpha 90.00
_cell_angle_beta 90.00
_cell_angle_gamma 90.00
loop_
_atom_site_label
_atom_site_type_symbol
_atom_site_fract_x
_atom_site_fract_y
_atom_site_fract_z
_atom_site_occupancy
Nb1 Nb 0.000 0.000 0.000 1
Te1 Te 0.500 0.500 0.500 1
I1 I 0.000 0.500 0.500 1
```



A plane-wave DFT calculation with PBEsol was carried out for a relaxed ScBe2Cr crystal.

Calculated values
M_tot: 0.580 μB per atom
DOS(E_F): 5.2 states/eV per cell
VASP energy: -6.02 eV per atom
Calculated formation energy: 19 kJ/mol of atoms
Mass density: 3719 kg/m3

Geometry as CIF:
```
data_ScBe2Cr
_chemical_formula_sum 'Sc2 Be4 Cr2'
_space_group_name_H-M_alt 'A m m 2'
_space_group_IT_number 38
_cell_length_a 3.534
_cell_length_b 2.990
_cell_length_c 9.717
_cell_angle_alpha 90.00
_cell_angle_beta 90.00
_cell_angle_gamma 90.00
loop_
_space_group_symop_operation_xyz
'x,y,z'
'-x,-y,z'
'-x,y,z'
'x,-y,z'
'x,y+1/2,z+1/2'
'-x,-y+1/2,z+1/2'
'-x,y+1/2,z+1/2'
'x,-y+1/2,z+1/2'
loop_
_atom_site_label
_atom_site_type_symbol
_atom_site_fract_x
_atom_site_fract_y
_atom_site_fract_z
_atom_site_occupancy
Sc1 Sc 0.000 0.000 0.000 1
Be1 Be 0.000 0.000 0.264 1
Be2 Be 0.500 0.000 0.379 1
Cr1 Cr 0.500 0.000 0.689 1
```



A plane-wave DFT calculation with PBEsol was carried out for a relaxed LaSi2Br crystal.

Calculated values
M_tot: 0.000 μB per atom
Offset from the most stable computed form: 13.2 kJ/mol of formula units
DOS(E_F): 3.8 states/eV per cell
VASP energy: -5.23 eV per atom
Mass density: 5005 kg/m3
Formation energy without anion corrections: -551 meV per atom

Geometry as CIF:
```
data_LaSi2Br
_chemical_formula_sum 'La2 Si4 Br2'
_space_group_name_H-M_alt 'I m m 2'
_space_group_IT_number 44
_cell_length_a 3.807
_cell_length_b 5.422
_cell_length_c 8.839
_cell_angle_alpha 90.00
_cell_angle_beta 90.00
_cell_angle_gamma 90.00
loop_
_space_group_symop_operation_xyz
'x,y,z'
'-x,-y,z'
'-x,y,z'
'x,-y,z'
'x+1/2,y+1/2,z+1/2'
'-x+1/2,-y+1/2,z+1/2'
'-x+1/2,y+1/2,z+1/2'
'x+1/2,-y+1/2,z+1/2'
loop_
_atom_site_label
_atom_site_type_symbol
_atom_site_fract_x
_atom_site_fract_y
_atom_site_fract_z
_atom_site_occupancy
La1 La 0.000 0.000 0.000 1
Si1 Si 0.000 0.000 0.422 1
Si2 Si 0.000 0.500 0.772 1
Br1 Br 0.000 0.500 0.204 1
```



A plane-wave DFT calculation with PBEsol was carried out for a relaxed TlRe2Se crystal.

Calculated values
M_tot: 0.000 μB per atom
Offset from the most stable computed form: 94.0 kJ/mol of formula units
DOS(E_F): 4.8 states/eV per cell
VASP energy: -7.42 eV per atom
Mass density: 15785 kg/m3
Formation energy without anion corrections: 866 meV per atom

Geometry as CIF:
```
data_TlRe2Se
_chemical_formula_sum 'Tl2 Re4 Se2'
_space_group_name_H-M_alt 'I m m 2'
_space_group_IT_number 44
_cell_length_a 3.024
_cell_length_b 4.603
_cell_length_c 9.910
_cell_angle_alpha 90.00
_cell_angle_beta 90.00
_cell_angle_gamma 90.00
loop_
_space_group_symop_operation_xyz
'x,y,z'
'-x,-y,z'
'-x,y,z'
'x,-y,z'
'x+1/2,y+1/2,z+1/2'
'-x+1/2,-y+1/2,z+1/2'
'-x+1/2,y+1/2,z+1/2'
'x+1/2,-y+1/2,z+1/2'
loop_
_atom_site_label
_atom_site_type_symbol
_atom_site_fract_x
_atom_site_fract_y
_atom_site_fract_z
_atom_site_occupancy
Tl1 Tl 0.000 0.000 0.000 1
Re1 Re 0.000 0.000 0.495 1
Re2 Re 0.000 0.500 0.213 1
Se1 Se 0.000 0.500 0.779 1
```



A plane-wave DFT calculation with PBEsol was carried out for a relaxed Ba2SmGaSe5 crystal.

Calculated values
M_tot: 0.000 μB per atom
VASP energy: -5.19 eV per atom
Mass density: 5656 kg/m3
Formation energy without anion corrections: -1640 meV per atom

Geometry as CIF:
```
data_Ba2SmGaSe5
_chemical_formula_sum 'Ba4 Sm2 Ga2 Se10'
_space_group_name_H-M_alt 'P -1'
_space_group_IT_number 2
_cell_length_a 7.279
_cell_length_b 8.717
_cell_length_c 9.386
_cell_angle_alpha 103.66
_cell_angle_beta 103.13
_cell_angle_gamma 107.57
loop_
_space_group_symop_operation_xyz
'x,y,z'
'-x,-y,-z'
loop_
_atom_site_label
_atom_site_type_symbol
_atom_site_fract_x
_atom_site_fract_y
_atom_site_fract_z
_atom_site_occupancy
Ba1 Ba 0.136 0.479 0.293 1
Ba2 Ba 0.157 0.990 0.293 1
Sm1 Sm 0.498 0.232 0.998 1
Ga1 Ga 0.305 0.371 0.686 1
Se1 Se 0.016 0.761 0.510 1
Se2 Se 0.199 0.909 0.942 1
Se3 Se 0.206 0.407 0.926 1
Se4 Se 0.481 0.651 0.681 1
Se5 Se 0.486 0.181 0.678 1
```



A plane-wave DFT calculation with PBEsol was carried out for a relaxed Ce5Sn3 crystal.

Calculated values
M_tot: 0.631 μB per atom
Offset from the most stable computed form: 0.0 kJ/mol of formula units
DOS(E_F): 97.9 states/eV per cell
VASP energy: -6.19 eV per atom
Calculated formation energy: -46 kJ/mol of atoms
Mass density: 8015 kg/m3

Geometry as CIF:
```
data_Ce5Sn3
_chemical_formula_sum 'Ce20 Sn12'
_space_group_name_H-M_alt 'I 4/m c m'
_space_group_IT_number 140
_space_group_name_Hall '-I 4 2c'
_cell_length_a 12.108
_cell_length_b 12.108
_cell_length_c 5.974
_cell_angle_alpha 90.00
_cell_angle_beta 90.00
_cell_angle_gamma 90.00
loop_
_atom_site_label
_atom_site_type_symbol
_atom_site_fract_x
_atom_site_fract_y
_atom_site_fract_z
_atom_site_occupancy
Ce1 Ce 0.000 0.500 0.250 1
Ce2 Ce 0.092 0.232 0.000 1
Sn1 Sn 0.000 0.000 0.250 1
Sn2 Sn 0.159 0.341 0.500 1
```



A plane-wave DFT calculation with PBEsol was carried out for a relaxed Sc2PtAu crystal.

Calculated values
M_tot: 0.000 μB per atom
DOS(E_F): 4.8 states/eV per cell
VASP energy: -7.02 eV per atom
Calculated formation energy: -96 kJ/mol of atoms
Mass density: 10704 kg/m3

Geometry as CIF:
```
data_Sc2PtAu
_chemical_formula_sum 'Sc4 Pt2 Au2'
_space_group_name_H-M_alt 'A m m 2'
_space_group_IT_number 38
_cell_length_a 4.410
_cell_length_b 3.348
_cell_length_c 10.130
_cell_angle_alpha 90.00
_cell_angle_beta 90.00
_cell_angle_gamma 90.00
loop_
_space_group_symop_operation_xyz
'x,y,z'
'-x,-y,z'
'-x,y,z'
'x,-y,z'
'x,y+1/2,z+1/2'
'-x,-y+1/2,z+1/2'
'-x,y+1/2,z+1/2'
'x,-y+1/2,z+1/2'
loop_
_atom_site_label
_atom_site_type_symbol
_atom_site_fract_x
_atom_site_fract_y
_atom_site_fract_z
_atom_site_occupancy
Sc1 Sc 0.000 0.000 0.000 1
Sc2 Sc 0.500 0.000 0.283 1
Pt1 Pt 0.500 0.000 0.551 1
Au1 Au 0.000 0.000 0.729 1
```



A plane-wave DFT calculation with PBEsol was carried out for a relaxed MnAu4 crystal.

Calculated values
M_tot: 0.811 μB per atom
Offset from the most stable computed form: 0.0 kJ/mol of formula units
DOS(E_F): 3.0 states/eV per cell
VASP energy: -5.14 eV per atom
Calculated formation energy: -4 kJ/mol of atoms
Mass density: 17182 kg/m3

Geometry as CIF:
```
data_MnAu4
_chemical_formula_sum 'Mn2 Au8'
_space_group_name_H-M_alt 'I 4/m'
_space_group_IT_number 87
_space_group_name_Hall '-I 4'
_cell_length_a 6.423
_cell_length_b 6.423
_cell_length_c 3.949
_cell_angle_alpha 90.00
_cell_angle_beta 90.00
_cell_angle_gamma 90.00
loop_
_atom_site_label
_atom_site_type_symbol
_atom_site_fract_x
_atom_site_fract_y
_atom_site_fract_z
_atom_site_occupancy
Mn1 Mn 0.000 0.000 0.000 1
Au1 Au 0.102 0.295 0.500 1
```



A plane-wave DFT calculation with PBEsol was carried out for a relaxed BaAlAg crystal.

Calculated values
M_tot: 0.000 μB per atom
DOS(E_F): 2.4 states/eV per cell
VASP energy: -3.34 eV per atom
Calculated formation energy: -15 kJ/mol of atoms
Mass density: 5250 kg/m3

Geometry as CIF:
```
data_BaAlAg
_chemical_formula_sum 'Ba1 Al1 Ag1'
_space_group_name_H-M_alt 'P -6 m 2'
_space_group_IT_number 187
_space_group_name_Hall 'P -6 2'
_cell_length_a 4.6873
_cell_length_b 4.6873
_cell_length_c 4.5245
_cell_angle_alpha 90.00
_cell_angle_beta 90.00
_cell_angle_gamma 120.00
loop_
_atom_site_label
_atom_site_type_symbol
_atom_site_fract_x
_atom_site_fract_y
_atom_site_fract_z
_atom_site_occupancy
Ba1 Ba 0.0000 0.0000 0.0000 1
Al1 Al 0.6667 0.3333 0.5000 1
Ag1 Ag 0.3333 0.6667 0.5000 1
```



A plane-wave DFT calculation with PBEsol was carried out for a relaxed CaSc5 crystal.

Calculated values
M_tot: 0.002 μB per atom
Offset from the most stable computed form: 119.8 kJ/mol of formula units
DOS(E_F): 12.8 states/eV per cell
VASP energy: -5.53 eV per atom
Calculated formation energy: 32 kJ/mol of atoms
Mass density: 2630 kg/m3

Geometry as CIF:
```
data_CaSc5
_chemical_formula_sum 'Ca1 Sc5'
_space_group_name_H-M_alt 'P 6/m m m'
_space_group_IT_number 191
_space_group_name_Hall '-P 6 2'
_cell_length_a 6.1309
_cell_length_b 6.1309
_cell_length_c 5.1373
_cell_angle_alpha 90.00
_cell_angle_beta 90.00
_cell_angle_gamma 120.00
loop_
_atom_site_label
_atom_site_type_symbol
_atom_site_fract_x
_atom_site_fract_y
_atom_site_fract_z
_atom_site_occupancy
Ca1 Ca 0.0000 0.0000 0.0000 1
Sc1 Sc 0.0000 0.5000 0.5000 1
Sc2 Sc 0.3333 0.6667 0.0000 1
```



A plane-wave DFT calculation with PBEsol was carried out for a relaxed Zr6CoAs2 crystal.

Calculated values
M_tot: 0.000 μB per atom
DOS(E_F): 8.7 states/eV per cell
VASP energy: -8.84 eV per atom
Calculated formation energy: -76 kJ/mol of atoms
Mass density: 7463 kg/m3

Geometry as CIF:
```
data_Zr6CoAs2
_chemical_formula_sum 'Zr6 Co1 As2'
_space_group_name_H-M_alt 'P -6 2 m'
_space_group_IT_number 189
_space_group_name_Hall 'P -6 -2'
_cell_length_a 7.4352
_cell_length_b 7.4352
_cell_length_c 3.5141
_cell_angle_alpha 90.00
_cell_angle_beta 90.00
_cell_angle_gamma 120.00
loop_
_atom_site_label
_atom_site_type_symbol
_atom_site_fract_x
_atom_site_fract_y
_atom_site_fract_z
_atom_site_occupancy
Zr1 Zr 0.0000 0.4141 0.0000 1
Zr2 Zr 0.0000 0.7525 0.5000 1
Co1 Co 0.0000 0.0000 0.0000 1
As1 As 0.3333 0.6667 0.5000 1
```



A plane-wave DFT calculation with PBEsol was carried out for a relaxed LiSe3 crystal.

Calculated values
M_tot: 0.000 μB per atom
Offset from the most stable computed form: 15.3 kJ/mol of formula units
DOS(E_F): 2.2 states/eV per cell
VASP energy: -3.80 eV per atom
Mass density: 4950 kg/m3
Formation energy without anion corrections: -416 meV per atom

Geometry as CIF:
```
data_LiSe3
_chemical_formula_sum 'Li2 Se6'
_space_group_name_H-M_alt 'I 4/m m m'
_space_group_IT_number 139
_space_group_name_Hall '-I 4 2'
_cell_length_a 3.872
_cell_length_b 3.872
_cell_length_c 10.910
_cell_angle_alpha 90.00
_cell_angle_beta 90.00
_cell_angle_gamma 90.00
loop_
_atom_site_label
_atom_site_type_symbol
_atom_site_fract_x
_atom_site_fract_y
_atom_site_fract_z
_atom_site_occupancy
Li1 Li 0.000 0.000 0.000 1
Se1 Se 0.000 0.000 0.260 1
Se2 Se 0.000 0.000 0.500 1
```